Here is crystalline In2AsPb2 at its relaxed geometry from Alexandria via LeMat-Bulk. Energies are from PBE-GGA.

Structure (CIF):
```
data_In2AsPb2
_cell_length_a 7.5158
_cell_length_b 7.5158
_cell_length_c 5.0551
_cell_angle_alpha 90.00
_cell_angle_beta 90.00
_cell_angle_gamma 90.00
_symmetry_space_group_name_H-M 'P 4/m b m'
_symmetry_Int_Tables_number 127
_symmetry_space_group_name_Hall '-P 4 2ab'
loop_
_atom_site_label
_atom_site_fract_x
_atom_site_fract_y
_atom_site_fract_z
In1 0.1419 0.3581 0.0000
As1 0.0000 0.0000 0.0000
Pb1 0.1732 0.6732 0.5000
```

Properties
ΔH_f (0 K): 0.62 eV/f.u.
energy relative to the lowest polymorph listed for this composition: 0.000 eV per atom
M_tot: 0.00 μB per cell